! HfBeFe (PBE, relaxed); values from VASP
&SYSTEM
  ibrav = 0, nat = 6, ntyp = 3
/
ATOMIC_SPECIES
Be 9.01 Be.upf
Hf 178.49 Hf.upf
Fe 55.84 Fe.upf
ATOMIC_POSITIONS crystal
Be 0.750 0.856 0.288
Hf 0.250 0.342 0.315
Fe 0.000 0.000 0.000
Fe 0.500 0.000 0.000
Be 0.250 0.144 0.712
Hf 0.750 0.658 0.685
CELL_PARAMETERS angstrom
-2.405 -3.270 2.380
2.242 -0.411 1.700
-1.148 4.462 4.970
! DOS at the Fermi energy: 5.3 states/eV per cell
! crystal system: orthorhombic
! formation energy from the elements: 0.230 eV per atom
! energy above the most stable polymorph in this dataset: 45.8 kJ/mol of atoms
! space group: No. 63

! P2IrAu (PBE, relaxed); values from VASP
&SYSTEM
  ibrav = 0, nat = 4, ntyp = 3
/
ATOMIC_SPECIES
P 30.97 P.upf
Au 196.97 Au.upf
Ir 192.22 Ir.upf
ATOMIC_POSITIONS crystal
P 0.857 0.857 0.070
Au 0.750 0.750 0.750
P 0.643 0.643 0.430
Ir 0.250 0.250 0.250
CELL_PARAMETERS angstrom
3.444 -0.019 0.000
1.723 2.982 0.000
-1.701 -0.975 7.353
! DOS at the Fermi energy: 2.5 states/eV per cell
! crystal system: monoclinic
! formation energy from the elements: -0.158 eV per atom
! energy above the most stable polymorph in this dataset: 6.5 kJ/mol of atoms
! space group: No. 12

! CeHfCo (PBE, relaxed); values from VASP
&SYSTEM
  ibrav = 0, nat = 6, ntyp = 3
/
ATOMIC_SPECIES
Hf 178.49 Hf.upf
Co 58.93 Co.upf
Ce 140.12 Ce.upf
ATOMIC_POSITIONS crystal
Hf 0.282 0.750 0.073
Co 0.745 0.750 0.807
Ce 0.227 0.750 0.566
Co 0.255 0.250 0.193
Ce 0.773 0.250 0.434
Hf 0.718 0.250 0.927
CELL_PARAMETERS angstrom
-2.738 -1.596 -2.087
3.413 -2.893 -2.266
-0.061 -4.210 5.285
! DOS at the Fermi energy: 10.7 states/eV per cell
! crystal system: monoclinic
! formation energy from the elements: -0.103 eV per atom
! energy above the most stable polymorph in this dataset: 0.0 kJ/mol of atoms
! space group: No. 11

! K2MgSe (PBE, relaxed); values from VASP
&SYSTEM
  ibrav = 0, nat = 4, ntyp = 3
/
ATOMIC_SPECIES
K 39.10 K.upf
Mg 24.30 Mg.upf
Se 78.96 Se.upf
ATOMIC_POSITIONS crystal
K 0.000 0.000 0.542
Mg 0.500 0.500 0.250
K 0.000 0.000 0.958
Se 0.500 0.500 0.750
CELL_PARAMETERS angstrom
4.377 0.000 0.000
0.000 4.374 0.000
0.000 0.000 7.060
! DOS at the Fermi energy: 1.0 states/eV per cell
! crystal system: tetragonal
! energy above the most stable polymorph in this dataset: 20.5 kJ/mol of atoms
! energy relative to the elements, uncorrected: -0.4119 eV per atom
! space group: No. 123

Q: Which value of DOS at the Fermi energy does entry 4 give?
A: 1.0 states/eV per cell